[1]
! KTa2NiOs | Alexandria | GGA-PBEsol | optimized geometry; values from VASP
! Formation enthalpy at 0 K, meV/atom: 1355.8
! Calculated total energy, eV/atom: -7.5659
! Energy relative to the lowest polymorph listed for this composition, meV/atom: 0
&SYSTEM
  ibrav = 0, nat = 5, ntyp = 4
/
ATOMIC_SPECIES
Os 190.23 Os.upf
Ni 58.69 Ni.upf
Ta 180.95 Ta.upf
K 39.10 K.upf
CELL_PARAMETERS angstrom
-4.200 0.476 -2.314
-2.357 -1.176 4.036
-0.167 4.692 1.270
ATOMIC_POSITIONS crystal
Os 0.000 0.000 0.000
Ni 0.000 0.000 0.500
Ta 0.500 0.000 0.000
Ta 0.000 0.500 0.000
K 0.500 0.500 0.500



[2]
! KTa2NiOs | Alexandria | GGA-PBEsol | optimized geometry; values from VASP
! Formation enthalpy at 0 K, meV/atom: 1916.7
! Calculated total energy, eV/atom: -7.0050
! Energy relative to the lowest polymorph listed for this composition, meV/atom: 561
&SYSTEM
  ibrav = 0, nat = 5, ntyp = 4
/
ATOMIC_SPECIES
Os 190.23 Os.upf
Ta 180.95 Ta.upf
Ni 58.69 Ni.upf
K 39.10 K.upf
CELL_PARAMETERS angstrom
-0.453 -4.578 -0.150
0.483 0.102 -4.576
4.561 -0.466 0.471
ATOMIC_POSITIONS crystal
Os 0.500 0.500 0.500
Ta 0.000 0.500 0.000
Ta 0.500 0.000 0.000
Ni 0.000 0.000 0.000
K 0.000 0.000 0.500



[3]
! KNiP2 | Alexandria | GGA-PBEsol | optimized geometry; values from VASP
! Formation enthalpy at 0 K, meV/atom: -361.8
! Calculated total energy, eV/atom: -5.0802
! Energy relative to the lowest polymorph listed for this composition, meV/atom: 0
&SYSTEM
  ibrav = 0, nat = 4, ntyp = 3
/
ATOMIC_SPECIES
P 30.97 P.upf
K 39.10 K.upf
Ni 58.69 Ni.upf
CELL_PARAMETERS angstrom
-0.873 -3.500 -0.525
2.387 -2.257 -1.580
2.921 -3.383 5.041
ATOMIC_POSITIONS crystal
P 0.710 0.710 0.869
P 0.290 0.290 0.131
K 0.500 0.500 0.500
Ni 0.000 0.000 0.000



[4]
! K2NiP2 | Alexandria | GGA-PBEsol | optimized geometry; values from VASP
! Formation enthalpy at 0 K, meV/atom: -460.4
! Calculated total energy, eV/atom: -4.4618
&SYSTEM
  ibrav = 0, nat = 10, ntyp = 3
/
ATOMIC_SPECIES
P 30.97 P.upf
K 39.10 K.upf
Ni 58.69 Ni.upf
CELL_PARAMETERS angstrom
5.507 0.000 0.000
0.000 6.313 0.000
0.000 3.157 6.816
ATOMIC_POSITIONS crystal
P 0.250 0.072 0.201
P 0.750 0.928 0.799
P 0.250 0.727 0.201
P 0.750 0.273 0.799
K 0.250 0.584 0.832
K 0.750 0.787 0.425
K 0.250 0.213 0.575
K 0.750 0.416 0.168
Ni 0.000 0.000 0.000
Ni 0.500 0.000 0.000



[5]
! KNiP2 | Alexandria | GGA-PBEsol | optimized geometry; values from VASP
! Formation enthalpy at 0 K, meV/atom: 87.4
! Calculated total energy, eV/atom: -4.6311
! Energy relative to the lowest polymorph listed for this composition, meV/atom: 449
&SYSTEM
  ibrav = 0, nat = 4, ntyp = 3
/
ATOMIC_SPECIES
P 30.97 P.upf
K 39.10 K.upf
Ni 58.69 Ni.upf
CELL_PARAMETERS angstrom
-0.251 3.125 -0.088
-0.835 -0.152 -3.019
-6.781 -0.491 1.901
ATOMIC_POSITIONS crystal
P 0.000 0.000 0.968
P 0.500 0.500 0.173
K 0.000 0.000 0.494
Ni 0.500 0.500 0.866



[6]
! KNi2P | Alexandria | GGA-PBEsol | optimized geometry; values from VASP
! Formation enthalpy at 0 K, meV/atom: -310.9
! Calculated total energy, eV/atom: -5.1208
&SYSTEM
  ibrav = 0, nat = 4, ntyp = 3
/
ATOMIC_SPECIES
K 39.10 K.upf
P 30.97 P.upf
Ni 58.69 Ni.upf
CELL_PARAMETERS angstrom
-3.732 -0.691 -0.740
-1.411 -3.583 0.356
-2.991 -0.379 5.336
ATOMIC_POSITIONS crystal
K 0.000 0.000 0.000
P 0.500 0.500 0.500
Ni 0.814 0.814 0.557
Ni 0.186 0.186 0.443



[7]
! K2NiP | Alexandria | GGA-PBEsol | optimized geometry; values from VASP
! Formation enthalpy at 0 K, meV/atom: 506.8
! Calculated total energy, eV/atom: -3.0471
&SYSTEM
  ibrav = 0, nat = 4, ntyp = 3
/
ATOMIC_SPECIES
K 39.10 K.upf
Ni 58.69 Ni.upf
P 30.97 P.upf
CELL_PARAMETERS angstrom
-2.047 3.088 -1.609
-3.482 -1.782 1.010
0.077 2.335 4.383
ATOMIC_POSITIONS crystal
K 0.500 0.000 0.000
K 0.000 0.500 0.000
Ni 0.500 0.500 0.500
P 0.000 0.000 0.500



[8]
! K2NiP | Alexandria | GGA-PBEsol | optimized geometry; values from VASP
! Formation enthalpy at 0 K, meV/atom: -251.8
! Calculated total energy, eV/atom: -3.8057
&SYSTEM
  ibrav = 0, nat = 4, ntyp = 3
/
ATOMIC_SPECIES
K 39.10 K.upf
Ni 58.69 Ni.upf
P 30.97 P.upf
CELL_PARAMETERS angstrom
-2.128 0.328 3.530
0.770 -5.417 0.967
3.687 3.709 1.877
ATOMIC_POSITIONS crystal
K 0.500 0.333 0.667
K 0.000 0.667 0.333
Ni 0.000 0.000 0.000
P 0.500 0.000 0.000



[9]
! K2NiP | Alexandria | GGA-PBEsol | optimized geometry; values from VASP
! Formation enthalpy at 0 K, meV/atom: 31.0
! Calculated total energy, eV/atom: -3.5229
&SYSTEM
  ibrav = 0, nat = 4, ntyp = 3
/
ATOMIC_SPECIES
K 39.10 K.upf
Ni 58.69 Ni.upf
P 30.97 P.upf
CELL_PARAMETERS angstrom
3.144 0.000 0.000
0.000 3.341 0.000
0.000 0.000 9.666
ATOMIC_POSITIONS crystal
K 0.500 0.500 0.335
K 0.000 0.000 0.908
Ni 0.000 0.000 0.600
P 0.500 0.500 0.657



[10]
! KNiP2 | Alexandria | GGA-PBEsol | optimized geometry; values from VASP
! Formation enthalpy at 0 K, meV/atom: -193.7
! Calculated total energy, eV/atom: -4.9121
! Energy relative to the lowest polymorph listed for this composition, meV/atom: 168
&SYSTEM
  ibrav = 0, nat = 4, ntyp = 3
/
ATOMIC_SPECIES
Ni 58.69 Ni.upf
K 39.10 K.upf
P 30.97 P.upf
CELL_PARAMETERS angstrom
-0.009 -0.019 -3.796
1.629 -4.584 -1.880
-4.300 -2.277 -1.877
ATOMIC_POSITIONS crystal
Ni 0.500 0.000 0.000
K 0.000 0.500 0.500
P 0.853 0.147 0.147
P 0.147 0.853 0.853



[11]
! K2NiP | Alexandria | GGA-PBEsol | optimized geometry; values from VASP
! Formation enthalpy at 0 K, meV/atom: -215.1
! Calculated total energy, eV/atom: -3.7690
&SYSTEM
  ibrav = 0, nat = 4, ntyp = 3
/
ATOMIC_SPECIES
P 30.97 P.upf
K 39.10 K.upf
Ni 58.69 Ni.upf
CELL_PARAMETERS angstrom
-3.284 -1.834 -1.659
-0.987 -2.659 4.892
-0.597 5.861 -0.203
ATOMIC_POSITIONS crystal
P 0.137 0.637 0.273
K 0.961 0.961 0.922
K 0.783 0.283 0.566
Ni 0.619 0.619 0.238



[12]
! K2NiPPb | Alexandria | GGA-PBEsol | optimized geometry; values from VASP
! Formation enthalpy at 0 K, meV/atom: 861.3
! Calculated total energy, eV/atom: -2.7816
&SYSTEM
  ibrav = 0, nat = 5, ntyp = 4
/
ATOMIC_SPECIES
Ni 58.69 Ni.upf
K 39.10 K.upf
P 30.97 P.upf
Pb 207.20 Pb.upf
CELL_PARAMETERS angstrom
-3.278 -2.631 2.142
-0.111 -4.004 -5.088
4.656 -3.586 2.720
ATOMIC_POSITIONS crystal
Ni 0.500 0.000 0.000
K 0.000 0.000 0.500
K 0.000 0.500 0.000
P 0.500 0.500 0.500
Pb 0.000 0.000 0.000